Record 1
Here is an optimized crystal structure of Th2PPd from the Alexandria database. Energies are from GGA-PBE.

As for the formation energy: -0.973 eV/atom. As for the symmetry: R3m, No. 160. The density comes out at 9.7 g/cm³.

Unit cell a=3.999 b=3.999 c=7.795 alpha=75.14 beta=75.14 gamma=60.00
Positions (direct):
Th1 0.078 0.078 0.766
Th2 0.255 0.255 0.236
P1 0.668 0.668 0.997
Pd1 0.500 0.500 0.501

=====

Record 2
Here is an optimized crystal structure of Th3P4Pd4 from the Alexandria database. Energies are from GGA-PBE.

As for the formation energy: -1.087 eV/atom. As for the symmetry: C2/m, No. 12. The density comes out at 9.8 g/cm³.

Unit cell a=4.060 b=4.136 c=12.894 alpha=80.94 beta=80.96 gamma=89.99
Positions (direct):
Th1 0.149 0.650 0.703
Th2 0.851 0.350 0.297
Th3 0.000 0.000 0.000
P1 0.550 0.554 0.900
P2 0.450 0.446 0.100
P3 0.307 0.806 0.385
P4 0.693 0.194 0.615
Pd1 0.598 0.102 0.804
Pd2 0.251 0.251 0.497
Pd3 0.749 0.749 0.503
Pd4 0.402 0.898 0.196

=====

Record 3
Here is an optimized crystal structure of ThP2Pd from the Alexandria database. Energies are from GGA-PBE.

As for the formation energy: -0.820 eV/atom. As for the symmetry: P4_1, No. 76. The density comes out at 8.0 g/cm³.

Unit cell a=4.281 b=4.281 c=18.107 alpha=90.00 beta=90.00 gamma=90.00
Positions (direct):
Th1 0.814 0.952 0.357
Th2 0.048 0.814 0.607
Th3 0.952 0.186 0.107
Th4 0.186 0.048 0.857
P1 0.563 0.296 0.615
P2 0.704 0.563 0.865
P3 0.296 0.437 0.365
P4 0.437 0.704 0.115
P5 0.022 0.317 0.488
P6 0.683 0.022 0.738
P7 0.317 0.978 0.238
P8 0.978 0.683 0.988
Pd1 0.472 0.470 0.984
Pd2 0.530 0.472 0.234
Pd3 0.470 0.528 0.734
Pd4 0.528 0.530 0.484

=====

Record 4
Here is an optimized crystal structure of Th2PPd from the Alexandria database. Energies are from GGA-PBE.

As for the formation energy: -0.448 eV/atom. As for the symmetry: R-3m, No. 166. The density comes out at 9.1 g/cm³.

Unit cell a=3.751 b=3.751 c=9.283 alpha=78.34 beta=78.34 gamma=60.00
Positions (direct):
P1 0.500 0.500 0.500
Pd1 0.000 0.000 0.000
Th1 0.100 0.100 0.700
Th2 0.900 0.900 0.300